# CuSbAsI2 PBE relaxed
# SG: No. 123
# Spin magnetization (μB/cell): 0.0
# Final energy (eV/cell): -12.851
# V (Å³ per atom): 28.63
# Polymorph energy (0 for the lowest one) (meV per atom): 137.0
data_CuSbAsI2
_chemical_formula_sum 'Cu1 Sb1 As1 I2'
_symmetry_space_group_name_H-M 'P 1'
_symmetry_Int_Tables_number 1
_cell_length_a 5.243
_cell_length_b 5.243
_cell_length_c 5.207
_cell_angle_alpha 90.00
_cell_angle_beta 90.00
_cell_angle_gamma 90.00
loop_
_symmetry_equiv_pos_as_xyz
'x,y,z'
loop_
_atom_site_label
_atom_site_fract_x
_atom_site_fract_y
_atom_site_fract_z
_atom_site_occupancy
Cu1 0.000 0.000 0.000 1
Sb1 0.000 0.000 0.500 1
As1 0.500 0.500 0.500 1
I1 0.000 0.500 0.000 1
I2 0.500 0.000 0.000 1